[1]
Entry from Alexandria via LeMat-Bulk: a geometry-optimized AcPmPrSb structure (PBE-GGA).

The space group is F-43m (No. 216) and the conventional cell measures 8.0102, 8.0102 and 8.0102 Å, with angles of 90.00, 90.00 and 90.00 degrees. The distinct sites, in fractional coordinates, are Ac at (0.0000, 0.0000, 0.0000), Pm at (0.2500, 0.2500, 0.7500), Pr at (0.2500, 0.2500, 0.2500) and Sb at (0.0000, 0.0000, 0.5000).

For the final energy, the calculation gives -0.3482 Ry/atom. Its crystal system is cubic.

=====

[2]
Entry from Alexandria via LeMat-Bulk: a geometry-optimized CaNd2Cu9 structure (PBE-GGA).

The space group is R-3m (No. 166, hexagonal axes) and the conventional cell measures 5.2347, 5.2347 and 25.3058 Å, with angles of 90.00, 90.00 and 120.00 degrees. The distinct sites, in fractional coordinates, are Ca at (0.0000, 0.0000, 0.0000), Nd at (0.0000, 0.0000, 0.1406), Cu at (0.0000, 0.0000, 0.3322), Cu at (0.0000, 0.0000, 0.5000) and Cu at (0.0025, 0.5013, 0.0803).

For the final energy, the calculation gives -0.3055 Ry/atom. Its crystal system is trigonal. Its energy relative to the elements is -0.123 eV per atom.

=====

[3]
Entry from Alexandria via LeMat-Bulk: a geometry-optimized LiAgS5 structure (PBE-GGA).

The space group is C2/c (No. 15) and the conventional cell measures 7.0903, 8.5316 and 10.9208 Å, with angles of 90.00, 100.01 and 90.00 degrees. The distinct sites, in fractional coordinates, are Li at (0.2500, 0.2500, 0.0000), Ag at (0.0000, 0.1108, 0.2500), S at (0.0000, 0.4794, 0.7500), S at (0.0417, 0.1117, 0.4846) and S at (0.2250, 0.3809, 0.2353).

For the final energy, the calculation gives -0.2746 Ry/atom. Its crystal system is monoclinic.